Entry 1:
# Li2PrAl (PBE, relaxed)
# Final energy: -0.2405 Ry per atom
data_Li2PrAl
_symmetry_space_group_name_H-M 'F m -3 m'
_symmetry_Int_Tables_number 225
_symmetry_space_group_name_Hall '-F 4 2 3'
_cell_length_a 6.8993
_cell_length_b 6.8993
_cell_length_c 6.8993
_cell_angle_alpha 90.00
_cell_angle_beta 90.00
_cell_angle_gamma 90.00
loop_
_atom_site_label
_atom_site_fract_x
_atom_site_fract_y
_atom_site_fract_z
Li1 0.2500 0.2500 0.2500
Pr1 0.0000 0.0000 0.0000
Al1 0.0000 0.0000 0.5000


Entry 2:
# Li2Pr4Al (PBE, relaxed)
# Final energy: -0.2754 Ry per atom
data_Li2Pr4Al
_symmetry_space_group_name_H-M 'R -3 m'
_symmetry_Int_Tables_number 166
_symmetry_space_group_name_Hall '-R 3 2"'
_cell_length_a 5.2459
_cell_length_b 5.2459
_cell_length_c 25.5217
_cell_angle_alpha 90.00
_cell_angle_beta 90.00
_cell_angle_gamma 120.00
loop_
_atom_site_label
_atom_site_fract_x
_atom_site_fract_y
_atom_site_fract_z
Li1 0.0000 0.0000 0.2371
Pr1 0.0000 0.0000 0.1153
Pr2 0.0000 0.0000 0.3703
Al1 0.0000 0.0000 0.5000


Entry 3:
# LiPr4Al (PBE, relaxed)
# Final energy: -0.3090 Ry per atom
data_LiPr4Al
_symmetry_space_group_name_H-M 'C 1 2/m 1'
_symmetry_Int_Tables_number 12
_symmetry_space_group_name_Hall '-C 2y'
_cell_length_a 12.9829
_cell_length_b 3.8483
_cell_length_c 7.6195
_cell_angle_alpha 90.00
_cell_angle_beta 107.10
_cell_angle_gamma 90.00
loop_
_atom_site_label
_atom_site_fract_x
_atom_site_fract_y
_atom_site_fract_z
Li1 0.0000 0.0000 0.0000
Pr1 0.1431 0.5000 0.8171
Pr2 0.1499 0.5000 0.3301
Al1 0.0000 0.0000 0.5000


Entry 4:
# Li4Pr3Al2 (PBE, relaxed)
# Final energy: -0.2493 Ry per atom
data_Li4Pr3Al2
_symmetry_space_group_name_H-M 'P -3 m 1'
_symmetry_Int_Tables_number 164
_symmetry_space_group_name_Hall '-P 3 2"'
_cell_length_a 4.9640
_cell_length_b 4.9640
_cell_length_c 9.3773
_cell_angle_alpha 90.00
_cell_angle_beta 90.00
_cell_angle_gamma 120.00
loop_
_atom_site_label
_atom_site_fract_x
_atom_site_fract_y
_atom_site_fract_z
Li1 0.0000 0.0000 0.1770
Li2 0.3333 0.6667 0.4093
Pr1 0.0000 0.0000 0.5000
Pr2 0.3333 0.6667 0.0989
Al1 0.3333 0.6667 0.7150